1.
KAlAs | GGA-PBE | relaxed

Values from the calculation:
Theoretical density = 2771 kg/m³
E_form = 0.1738 eV/atom
Final energy = -2.9894 eV per atom
Size of the total moment = 0.000 μB per formula unit
DOS at the Fermi energy = 1.67 states/eV per cell

Lattice parameters (Å, degrees): 4.9258 4.9258 4.9258 60.00 60.00 60.00
With the nearest neighbours (Å) after each atom.
Atoms (fractional coordinates):
K 0.0000 0.0000 0.0000  4 Al 3.02
Al 0.2500 0.2500 0.2500  4 As 3.02, 4 K 3.02
As 0.5000 0.5000 0.5000  4 Al 3.02

***

2.
TlHgAuI2 | GGA-PBE | relaxed

Values from the calculation:
Theoretical density = 7480 kg/m³
Final energy = -1.9901 eV per atom
Uncorrected formation energy = -0.90 eV/f.u.
Size of the total moment = 0.000 μB per formula unit
DOS at the Fermi energy = 1.50 states/eV per cell

Lattice parameters (Å, degrees): 5.9312 5.9312 5.3999 90.00 90.00 90.00
With the nearest neighbours (Å) after each atom.
Atoms (fractional coordinates):
Tl 0.0000 0.0000 0.0000  8 I 4.01, 4 Hg 4.19
Hg 0.5000 0.5000 0.0000  2 Au 2.70
Au 0.5000 0.5000 0.5000  2 Hg 2.70, 4 I 2.97
I 0.0000 0.5000 0.5000  2 Au 2.97
I 0.5000 0.0000 0.5000  2 Au 2.97

***

3.
RbCdOs2O8 | GGA-PBE | relaxed

Values from the calculation:
Theoretical density = 4978 kg/m³
Final energy = -6.3992 eV per atom
Uncorrected formation energy = -12.78 eV/f.u.
Size of the total moment = 2.989 μB per formula unit
DOS at the Fermi energy = 4.17 states/eV per cell

Lattice parameters (Å, degrees): 5.4262 5.4262 8.5527 93.78 93.78 69.83
With the nearest neighbours (Å) after each atom.
Atoms (fractional coordinates):
Rb 0.0000 0.0000 0.0000  6 O 2.98-2.99
Cd 0.0000 0.0000 0.5000  6 O 2.29-2.33
Os 0.3865 0.3865 0.7165  4 O 1.77-1.80
Os 0.6135 0.6135 0.2835  4 O 1.77-1.80
O 0.2408 0.7362 0.7010  1 Os 1.80
O 0.2569 0.2569 0.5452  1 Os 1.79
O 0.2638 0.7592 0.2990  1 Os 1.80
O 0.3137 0.3137 0.9025  1 Os 1.77
O 0.6863 0.6863 0.0975  1 Os 1.77
O 0.7362 0.2408 0.7010  1 Os 1.80
O 0.7431 0.7431 0.4548  1 Os 1.79
O 0.7592 0.2638 0.2990  1 Os 1.80

***

4.
CrTe3H | GGA-PBE | relaxed

Values from the calculation:
Theoretical density = 7324 kg/m³
Offset from the most stable computed form = 1068 meV/atom
Final energy = -3.3465 eV per atom
Size of the total moment = 0.011 μB per formula unit
DOS at the Fermi energy = 6.05 states/eV per cell

Lattice parameters (Å, degrees): 4.6231 4.6231 4.6231 90.00 90.00 90.00
With the nearest neighbours (Å) after each atom.
Atoms (fractional coordinates):
Cr 0.0000 0.0000 0.0000  12 Te 3.27
Te 0.0000 0.5000 0.5000  2 H 2.31
Te 0.5000 0.0000 0.5000  2 H 2.31
Te 0.5000 0.5000 0.0000  2 H 2.31
H 0.5000 0.5000 0.5000  6 Te 2.31